7
Lattice="5.019 0.000 1.568 2.265 4.479 1.568 -0.041 -0.025 8.949" Properties=species:S:1:pos:R:3 comment="Ho4Mg2Cd PBE optimized geometry" n_ef_per_ev_atom=1.3720 ef_mev_per_atom=65 total_energy_ha_per_atom=-0.115 polymorph_energy_mev_per_atom=0.0 spacegroup="No. 166" pbc="T T T"
Mg 5.397 3.319 9.175
Mg 1.845 1.135 2.910
Ho 4.494 2.764 3.248
Ho 6.331 3.893 6.187
Ho 0.912 0.561 5.898
Ho 2.748 1.690 8.837
Cd 0.000 0.000 0.000

***

13
Lattice="9.046 3.687 -0.424 -6.191 -6.673 3.571 0.563 -4.221 -8.801" Properties=species:S:1:pos:R:3 comment="Pm4Pr5Nd4 PBE optimized geometry" n_ef_per_ev_atom=1.5308 ef_mev_per_atom=13 total_energy_ha_per_atom=-0.175 spacegroup="No. 87" pbc="T T T"
Nd -2.727 -6.746 -3.927
Nd 3.263 -1.041 -3.949
Nd 6.145 -0.462 -1.728
Nd 0.155 -6.166 -1.705
Pr -0.031 -3.575 0.922
Pr 0.000 0.000 0.000
Pr 3.064 -2.018 -0.409
Pr 3.449 -3.633 -6.576
Pr 0.354 -5.189 -5.245
Pm 3.238 -4.603 -3.019
Pm 6.515 -2.093 -7.897
Pm 0.180 -2.605 -2.635
Pm -3.097 -5.115 2.243